1.
A plane-wave DFT calculation with PBE-GGA was carried out for TaBiN2O after structural relaxation.

The value obtained for the raw formation energy is 1392.3 meV/atom.

The structure belongs to space group P4/mmm (No. 123); the cell edges are 4.242, 4.242 and 4.117 Å and the angles 90.00°, 90.00° and 90.00°. The distinct sites, in fractional coordinates, are Ta at (0.000, 0.000, 0.000), Bi at (0.500, 0.500, 0.500), N at (0.000, 0.500, 0.500) and O at (0.500, 0.500, 0.000).

2.
A plane-wave DFT calculation with PBE-GGA was carried out for Rb3CuTe2 after structural relaxation.

The value obtained for the raw formation energy is -742.3 meV/atom.

The structure belongs to space group Pnma (No. 62); the cell edges are 13.756, 4.757 and 14.723 Å and the angles 90.00°, 90.00° and 90.00°. The distinct sites, in fractional coordinates, are Rb at (0.067, 0.250, 0.115), Rb at (0.117, 0.750, 0.555), Rb at (0.186, 0.250, 0.796), Cu at (0.137, 0.250, 0.367), Te at (0.056, 0.750, 0.317) and Te at (0.206, 0.750, 0.972).

3.
A plane-wave DFT calculation with PBE-GGA was carried out for La5Pm4Hg after structural relaxation.

For the energy of formation, the calculation gives -0.08 eV/f.u.

The structure belongs to space group P4/mmm (No. 123); the cell edges are 4.236, 4.236 and 19.164 Å and the angles 90.00°, 90.00° and 90.00°. The distinct sites, in fractional coordinates, are La at (0.000, 0.000, 0.000), La at (0.000, 0.000, 0.198), La at (0.000, 0.000, 0.412), Pm at (0.500, 0.500, 0.101), Pm at (0.500, 0.500, 0.300) and Hg at (0.500, 0.500, 0.500).

The records above yield E_tot values of -6.076, -2.956, -4.402 eV per atom, respectively.